[1]
KCaSCl2 | PBE | relaxed

## Properties
Raw total energy = -15.04 eV for the cell shown
Raw formation energy = -4.12 eV per formula unit
DOS(E_F) = 2.657 states/eV per cell
Calculated volume = 165.39 Å³ per cell

Cell: 5.4412 5.4412 5.5865 Å, 90.00 90.00 90.00°
Atoms (fractional coordinates):
S 0.0000 0.0000 0.5000
Ca 0.5000 0.5000 0.5000
K 0.0000 0.0000 0.0000
Cl 0.0000 0.5000 0.0000
Cl 0.5000 0.0000 0.0000



[2]
KCaSCl2 | PBE | relaxed

## Properties
Raw total energy = -18.78 eV for the cell shown
Raw formation energy = -7.86 eV per formula unit
DOS(E_F) = 5.261 states/eV per cell
Calculated volume = 161.51 Å³ per cell

Cell: 5.4121 5.4121 5.5139 Å, 90.00 90.00 90.00°
Atoms (fractional coordinates):
S 0.0000 0.0000 0.5000
Ca 0.0000 0.0000 0.0000
K 0.5000 0.5000 0.5000
Cl 0.0000 0.5000 0.0000
Cl 0.5000 0.0000 0.0000



[3]
KCaSbCl6 | PBE | relaxed

## Properties
Raw total energy = -33.10 eV for the cell shown
Raw formation energy = -14.80 eV per formula unit
DOS(E_F) = 0.000 states/eV per cell
Calculated volume = 300.71 Å³ per cell

Cell: 7.0978 7.0978 6.8924 Å, 90.00 90.00 60.00°
Atoms (fractional coordinates):
K 0.0000 0.0000 0.0000
Ca 0.6666 0.6667 0.5000
Sb 0.3333 0.3333 0.5000
Cl 0.0080 0.3631 0.2790
Cl 0.3630 0.0080 0.7210
Cl 0.6289 0.3631 0.7210
Cl 0.0079 0.6290 0.7210
Cl 0.3631 0.6290 0.2790
Cl 0.6289 0.0080 0.2790



[4]
KCa2SbCl | PBE | relaxed

## Properties
Raw total energy = -11.04 eV for the cell shown
Raw formation energy = 0.03 eV per formula unit
DOS(E_F) = 4.107 states/eV per cell
Calculated volume = 200.70 Å³ per cell

Cell: 6.2692 5.1064 6.2692 Å, 90.00 90.00 90.00°
Atoms (fractional coordinates):
Sb 0.5000 0.5000 0.5000
Ca 0.0000 0.0000 0.5000
Ca 0.5000 0.0000 0.0000
K 0.0000 0.0000 0.0000
Cl 0.0000 0.5000 0.0000



[5]
KCa2ScCl8 | PBE | relaxed

## Properties
Raw total energy = -52.62 eV for the cell shown
Raw formation energy = -26.42 eV per formula unit
DOS(E_F) = 0.000 states/eV per cell
Calculated volume = 347.74 Å³ per cell

Cell: 6.5009 6.2455 8.5651 Å, 89.99 90.00 89.42°
Atoms (fractional coordinates):
K 0.0000 0.0000 0.5000
Ca 0.5000 0.5000 0.7530
Ca 0.5000 0.5000 0.2470
Sc 0.0000 0.0000 0.0000
Cl 0.1649 0.7748 0.2055
Cl 0.6863 0.7430 0.0000
Cl 0.8350 0.2251 0.2055
Cl 0.8351 0.2252 0.7945
Cl 0.3137 0.2570 0.0000
Cl 0.1650 0.7749 0.7945
Cl 0.6283 0.7254 0.5000
Cl 0.3717 0.2746 0.5000



[6]
K2CaScCl6 | PBE | relaxed

## Properties
Raw total energy = -83.43 eV for the cell shown
Raw formation energy = -20.11 eV per formula unit
DOS(E_F) = 10.929 states/eV per cell
Calculated volume = 585.31 Å³ per cell

Cell: 7.4387 7.4656 10.5395 Å, 90.00 90.00 90.00°
Atoms (fractional coordinates):
K 0.5000 0.7537 0.2460
K 0.0000 0.2463 0.7460
K 0.5000 0.7537 0.7540
K 0.0000 0.2463 0.2540
Ca 0.0000 0.7478 0.5000
Ca 0.5000 0.2522 0.0000
Sc 0.5000 0.2482 0.5000
Sc 0.0000 0.7518 0.0000
Cl 0.5000 0.2480 0.2559
Cl 0.5000 0.2480 0.7441
Cl 0.0000 0.7520 0.2441
Cl 0.0000 0.7520 0.7559
Cl 0.2559 0.0041 0.5000
Cl 0.7441 0.0041 0.5000
Cl 0.2547 0.4909 0.5000
Cl 0.7453 0.4909 0.5000
Cl 0.7547 0.5091 0.0000
Cl 0.2453 0.5091 0.0000
Cl 0.2441 0.9959 0.0000
Cl 0.7559 0.9959 0.0000